[1]
VASP calculation (PBE) on Nd5SmDy2Y after structural relaxation.

Calculated values
**Total DFT energy (no corrections)**: -4.77 eV/atom
**E_form**: 1.32 eV per formula unit
**Volume**: 313.22 Å³/f.u.

CIF file:
```
data_Nd5SmDy2Y
_chemical_formula_sum 'Nd20 Sm4 Dy8 Y4'
_cell_length_a 5.685
_cell_length_b 20.552
_cell_length_c 10.723
_cell_angle_alpha 90.00
_cell_angle_beta 90.00
_cell_angle_gamma 90.00
_space_group_name_H-M_alt 'C m c 21'
_space_group_IT_number 36
loop_
_space_group_symop_operation_xyz
'x,y,z'
'-x,-y,z+1/2'
'-x,y,z'
'x,-y,z+1/2'
'x+1/2,y+1/2,z'
'-x+1/2,-y+1/2,z+1/2'
'-x+1/2,y+1/2,z'
'x+1/2,-y+1/2,z+1/2'
loop_
_atom_site_label
_atom_site_type_symbol
_atom_site_fract_x
_atom_site_fract_y
_atom_site_fract_z
Nd1 Nd 0.000 0.015 0.000
Nd2 Nd 0.000 0.279 0.290
Nd3 Nd 0.000 0.297 0.685
Nd4 Nd 0.000 0.389 0.004
Nd5 Nd 0.000 0.481 0.723
Sm1 Sm 0.000 0.201 0.990
Dy1 Dy 0.000 0.112 0.717
Dy2 Dy 0.000 0.116 0.294
Y1 Y 0.000 0.409 0.439
```

[2]
VASP calculation (PBE) on MgIn3S6 after structural relaxation.

Calculated values
**Formation energy (no corrections)**: -49.34 kJ/mol of atoms
**Total DFT energy (no corrections)**: -3.97 eV/atom
**Volume**: 230.07 Å³/f.u.

CIF file:
```
data_MgIn3S6
_chemical_formula_sum 'Mg6 In18 S36'
_cell_length_a 10.8778
_cell_length_b 10.8778
_cell_length_c 13.4710
_cell_angle_alpha 90.00
_cell_angle_beta 90.00
_cell_angle_gamma 120.00
_space_group_name_H-M_alt 'R -3'
_space_group_IT_number 148
_space_group_name_Hall '-R 3'
loop_
_atom_site_label
_atom_site_type_symbol
_atom_site_fract_x
_atom_site_fract_y
_atom_site_fract_z
Mg1 Mg 0.0000 0.0000 0.0000
Mg2 Mg 0.0000 0.0000 0.5000
In1 In 0.0510 0.2722 0.2095
S1 S 0.0174 0.2051 0.3966
S2 S 0.0207 0.1888 0.8761
```

[3]
VASP calculation (PBE) on La7Pr2Ho4 after structural relaxation.

Calculated values
**Total DFT energy (no corrections)**: -4.64 eV/atom
**E_form**: 2.09 eV per formula unit
**Volume**: 454.79 Å³/f.u.

CIF file:
```
data_La7Pr2Ho4
_chemical_formula_sum 'La7 Pr2 Ho4'
_cell_length_a 6.3130
_cell_length_b 6.3130
_cell_length_c 13.1766
_cell_angle_alpha 90.00
_cell_angle_beta 90.00
_cell_angle_gamma 120.00
_space_group_name_H-M_alt 'P -3 1 m'
_space_group_IT_number 162
_space_group_name_Hall '-P 3 2'
loop_
_atom_site_label
_atom_site_type_symbol
_atom_site_fract_x
_atom_site_fract_y
_atom_site_fract_z
La1 La 0.0000 0.0000 0.0000
La2 La 0.0000 0.3824 0.2319
Pr1 Pr 0.3333 0.6667 0.0000
Ho1 Ho 0.0000 0.0000 0.3904
Ho2 Ho 0.3333 0.6667 0.5000
```

[4]
VASP calculation (PBE) on NaCoRh2N after structural relaxation.

Calculated values
**Formation energy (no corrections)**: 18.99 kJ/mol of atoms
**Total DFT energy (no corrections)**: -6.09 eV/atom
**Volume**: 64.80 Å³/f.u.

CIF file:
```
data_NaCoRh2N
_chemical_formula_sum 'Na1 Co1 Rh2 N1'
_cell_length_a 4.138
_cell_length_b 4.138
_cell_length_c 3.784
_cell_angle_alpha 90.00
_cell_angle_beta 90.00
_cell_angle_gamma 90.00
_space_group_name_H-M_alt 'P 4/m m m'
_space_group_IT_number 123
_space_group_name_Hall '-P 4 2'
loop_
_atom_site_label
_atom_site_type_symbol
_atom_site_fract_x
_atom_site_fract_y
_atom_site_fract_z
Na1 Na 0.000 0.000 0.000
Co1 Co 0.500 0.500 0.000
Rh1 Rh 0.000 0.500 0.500
N1 N 0.500 0.500 0.500
```

[5]
VASP calculation (PBE) on Sr2NbBiO6 after structural relaxation.

Calculated values
**Formation energy (no corrections)**: -230.29 kJ/mol of atoms
**Total DFT energy (no corrections)**: -7.09 eV/atom
**Energy relative to the lowest polymorph listed for this composition**: 0 meV per atom
**Volume**: 171.78 Å³/f.u.

CIF file:
```
data_Sr2NbBiO6
_chemical_formula_sum 'Sr2 Nb1 Bi1 O6'
_cell_length_a 5.851
_cell_length_b 5.851
_cell_length_c 5.018
_cell_angle_alpha 90.00
_cell_angle_beta 90.00
_cell_angle_gamma 90.00
_space_group_name_H-M_alt 'P 4 m m'
_space_group_IT_number 99
loop_
_space_group_symop_operation_xyz
'x,y,z'
'-y,x,z'
'-x,-y,z'
'y,-x,z'
'-x,y,z'
'y,x,z'
'x,-y,z'
'-y,-x,z'
loop_
_atom_site_label
_atom_site_type_symbol
_atom_site_fract_x
_atom_site_fract_y
_atom_site_fract_z
Sr1 Sr 0.000 0.500 0.000
Nb1 Nb 0.000 0.000 0.588
Bi1 Bi 0.500 0.500 0.577
O1 O 0.000 0.000 0.217
O2 O 0.229 0.229 0.708
O3 O 0.500 0.500 0.146
```

[6]
VASP calculation (PBE) on YScFeP2 after structural relaxation.

Calculated values
**Total DFT energy (no corrections)**: -6.34 eV/atom
**E_form**: 0.37 eV per formula unit
**Volume**: 106.70 Å³/f.u.

CIF file:
```
data_YScFeP2
_chemical_formula_sum 'Y1 Sc1 Fe1 P2'
_cell_length_a 4.863
_cell_length_b 4.863
_cell_length_c 4.511
_cell_angle_alpha 90.00
_cell_angle_beta 90.00
_cell_angle_gamma 90.00
_space_group_name_H-M_alt 'P 4/m m m'
_space_group_IT_number 123
_space_group_name_Hall '-P 4 2'
loop_
_atom_site_label
_atom_site_type_symbol
_atom_site_fract_x
_atom_site_fract_y
_atom_site_fract_z
Y1 Y 0.000 0.000 0.000
Sc1 Sc 0.500 0.500 0.500
Fe1 Fe 0.500 0.500 0.000
P1 P 0.000 0.500 0.500
```